(1)
The following is a GGA-PBE calculation of an optimized crystal structure of BPdS, from Alexandria via LeMat-Bulk.

Offset from the most stable computed form in meV per atom: 76.2
V in Å³ per cell: 92
Raw formation energy in meV per atom: -134.1

```
6
Lattice="-1.3170 2.3190 -1.3845 -3.5278 -2.1410 -1.8955 -5.5381 0.9520 4.4814" Properties=species:S:1:pos:R:3 pbc="T T T"
B -4.0983 1.5575 2.0393
S -5.7312 2.4030 1.7574
B -6.2848 -0.4274 -0.8380
Pd -7.7712 1.2410 1.4390
S -4.6519 -1.2730 -0.5560
Pd -2.6118 -0.1110 -0.2376
```

***

(2)
The following is a GGA-PBE calculation of an optimized crystal structure of VHgPCl2, from Alexandria via LeMat-Bulk.

Offset from the most stable computed form in meV per atom: 1225.9
V in Å³ per cell: 135
Raw formation energy in meV per atom: 1021.2

```
5
Lattice="5.1381 0.0000 0.0000 0.0000 5.1381 0.0000 0.0000 0.0000 5.1292" Properties=species:S:1:pos:R:3 pbc="T T T"
Cl 2.5690 0.0000 0.0000
Hg 0.0000 0.0000 0.0000
Cl 0.0000 2.5690 0.0000
V 2.5690 2.5690 2.5646
P 0.0000 0.0000 2.5646
```

***

(3)
The following is a GGA-PBE calculation of an optimized crystal structure of Cd4InSn, from Alexandria via LeMat-Bulk.

Offset from the most stable computed form in meV per atom: 0.0
V in Å³ per cell: 147
Calculated formation energy in eV/atom: 0.04

```
6
Lattice="-4.3963 1.6596 -1.0348 0.6310 -5.6377 -0.5361 -1.0250 1.0537 6.0448" Properties=species:S:1:pos:R:3 pbc="T T T"
Cd -1.1960 -2.9857 0.2926
In -0.5125 0.5269 3.0224
Cd -3.0711 -0.4389 1.1566
Cd -3.5943 0.0613 4.1814
Sn 0.0000 0.0000 0.0000
Cd -1.7193 -2.4856 3.3173
```

***

(4)
The following is a GGA-PBE calculation of an optimized crystal structure of Y5Er8Sc, from Alexandria via LeMat-Bulk.

V in Å³ per cell: 446
Calculated formation energy in eV/atom: 0.27

```
14
Lattice="7.9335 -0.0001 -2.5714 -4.0325 6.7066 -2.8838 0.1315 0.0001 8.3390" Properties=species:S:1:pos:R:3 pbc="T T T"
Y 2.0225 0.6766 7.0557
Er -2.2674 4.9733 1.6421
Er 1.7314 4.0518 -0.8928
Er 7.0889 0.6111 2.8400
Sc 0.0658 3.3534 4.1695
Y 3.2979 6.0299 -3.2509
Er 0.9466 6.0955 2.9063
Y 4.0325 0.0000 2.8838
Er 4.8535 1.7333 0.2072
Y 3.7821 4.5627 1.8729
Er 1.6755 1.8134 1.9496
Y -1.0375 2.1439 0.0897
Er 3.7474 2.6547 4.8109
Er -1.6460 4.8932 -1.9285
```

***

(5)
The following is a GGA-PBE calculation of an optimized crystal structure of Os3SeCl, from Alexandria via LeMat-Bulk.

Offset from the most stable computed form in meV per atom: 7.9
V in Å³ per cell: 86
Raw formation energy in meV per atom: 2225.3

```
5
Lattice="-3.2622 2.7270 -1.1854 -0.8315 -2.5261 -3.5230 -2.8549 -2.3804 2.3806" Properties=species:S:1:pos:R:3 pbc="T T T"
Se -3.4743 -1.0897 -1.1639
Cl 0.0000 0.0000 0.0000
Os -1.4275 -1.1902 1.1903
Os -0.4157 -1.2631 -1.7615
Os -1.6311 1.3635 -0.5927
```

***

(6)
The following is a GGA-PBE calculation of an optimized crystal structure of CuTe2I, from Alexandria via LeMat-Bulk.

V in Å³ per cell: 264
Raw formation energy in meV per atom: 249.9

```
8
Lattice="-2.5211 6.0577 -3.1720 2.7701 -2.1861 -6.3766 -4.1374 -0.3899 -5.8284" Properties=species:S:1:pos:R:3 pbc="T T T"
I -3.2670 3.8018 -6.8874
Te -2.7827 0.9803 -8.4745
I 0.0000 0.0000 0.0000
Te 0.1753 -0.2103 -6.0989
Te -2.0572 2.9190 -3.9768
Cu -0.6214 -0.3201 -8.4897
Cu 0.1245 1.9358 -4.7743
Te -3.1121 3.2743 -12.2039
```

***

(7)
The following is a GGA-PBE calculation of an optimized crystal structure of Li3SmHo2Se6, from Alexandria via LeMat-Bulk.

V in Å³ per cell: 282
Raw formation energy in meV per atom: -1689.7

```
12
Lattice="7.0808 -0.0016 0.0012 -3.5401 6.1323 0.0012 -1.1800 -2.0432 6.5016" Properties=species:S:1:pos:R:3 pbc="T T T"
Li 4.7102 0.0051 3.2520
Se 3.5632 2.0058 4.8553
Se 0.0228 0.0394 4.8464
Se -0.0434 4.0887 4.8553
Li -2.3495 4.0824 3.2520
Se 2.4041 -0.0012 1.6488
Se 2.3379 4.0481 1.6577
Ho 3.5398 2.0434 0.0012
Ho 0.0009 4.0872 0.0012
Sm 0.0000 0.0000 0.0000
Se -1.2025 2.0818 1.6488
Li 1.1803 2.0438 3.2520
```

***

(8)
The following is a GGA-PBE calculation of an optimized crystal structure of Pm3Mg5, from Alexandria via LeMat-Bulk.

Offset from the most stable computed form in meV per atom: 0.0
V in Å³ per cell: 221
Calculated formation energy in eV/atom: -0.08

```
8
Lattice="5.2653 0.0000 0.0000 0.0000 6.6115 -0.6113 0.0000 -1.4430 6.4810" Properties=species:S:1:pos:R:3 pbc="T T T"
Mg 0.0000 0.0000 0.0000
Mg 2.6326 1.2834 1.4575
Pm 0.0000 2.5843 2.9349
Mg 0.0000 3.3057 -0.3056
Mg 2.6326 3.8852 4.4122
Pm 2.6326 0.4605 4.8049
Pm 2.6326 4.7080 1.0648
Mg 0.0000 -0.7215 3.2405
```